(1)
ErZnPd: optimized geometry, PBE-GGA.

- Space-group type: P-62m
- Density: 9.887 g/cm³
- Final energy: -39.0 eV/cell
- Calculated formation energy: -0.67 eV/atom

Cell: 7.1502 7.1502 3.8588 Å, 90.00 90.00 120.00°
With the nearest neighbours (Å) after each atom.
Fractional coordinates of all 9 atoms:
Er 0.0000 0.5937 0.0000  5 Zn 2.90-2.91, 6 Pd 3.10-3.19
Er 0.4063 0.4063 0.0000  5 Zn 2.90-2.91, 6 Pd 3.10-3.19
Er 0.5937 0.0000 0.0000  5 Zn 2.90-2.91, 6 Pd 3.10-3.19
Zn 0.0000 0.0000 0.0000  6 Pd 2.66, 3 Er 2.91
Zn 0.3333 0.6667 0.5000  3 Pd 2.71, 6 Er 2.90
Zn 0.6667 0.3333 0.5000  3 Pd 2.71, 6 Er 2.90
Pd 0.0000 0.2551 0.5000  4 Zn 2.66-2.71
Pd 0.2551 0.0000 0.5000  4 Zn 2.66-2.71
Pd 0.7449 0.7449 0.5000  4 Zn 2.66-2.71

---

(2)
ZrCuAs2: optimized geometry, PBE-GGA.

- Space-group type: F-43m
- Density: 7.079 g/cm³
- Final energy: -21.5 eV/cell

Cell: 4.6577 4.6577 4.6577 Å, 60.00 60.00 60.00°
With the nearest neighbours (Å) after each atom.
Fractional coordinates of all 4 atoms:
Zr 0.0000 0.0000 0.0000  4 As 2.85, 4 Cu 2.85
Cu 0.2500 0.2500 0.2500  4 Zr 2.85, 4 As 2.85
As 0.5000 0.5000 0.5000  4 As 2.85, 4 Cu 2.85
As 0.7500 0.7500 0.7500  4 Zr 2.85, 4 As 2.85

---

(3)
ZnBiPb2: optimized geometry, PBE-GGA.

- Space-group type: F-43m
- Density: 9.975 g/cm³
- Final energy: -12.1 eV/cell

Cell: 5.4531 5.4531 5.4531 Å, 60.00 60.00 60.00°
With the nearest neighbours (Å) after each atom.
Fractional coordinates of all 4 atoms:
Zn 0.0000 0.0000 0.0000  4 Bi 3.34, 4 Pb 3.34
Bi 0.7500 0.7500 0.7500  4 Pb 3.34, 4 Zn 3.34
Pb 0.2500 0.2500 0.2500  4 Pb 3.34, 4 Zn 3.34
Pb 0.5000 0.5000 0.5000  4 Pb 3.34, 4 Bi 3.34

---

(4)
TaNb3H2: optimized geometry, PBE-GGA.

- Space-group type: P2
- Density: 9.770 g/cm³
- Final energy: -49.8 eV/cell

Cell: 3.3959 4.8152 4.7987 Å, 90.00 90.28 90.00°
With the nearest neighbours (Å) after each atom.
Fractional coordinates of all 6 atoms:
Ta 0.0000 0.0000 0.0000  2 H 1.94
Nb 0.0000 0.5337 0.5000  2 H 1.96
Nb 0.5000 0.0006 0.5000  2 H 1.95
Nb 0.5000 0.5307 0.0000  2 H 1.95
H 0.2494 0.2653 0.2494  1 Ta 1.94, 3 Nb 1.95-1.96
H 0.7506 0.2653 0.7506  1 Ta 1.94, 3 Nb 1.95-1.96

---

(5)
ScInFeOs: optimized geometry, PBE-GGA.

- Space-group type: F-43m
- Excess energy over the best structure of this formula in the dataset: 0 meV/atom
- Density: 10.222 g/cm³
- Final energy: -28.4 eV/cell

Cell: 4.5346 4.5346 4.5346 Å, 60.00 60.00 60.00°
With the nearest neighbours (Å) after each atom.
Fractional coordinates of all 4 atoms:
Sc 0.0000 0.0000 0.0000  4 Fe 2.78, 4 Os 2.78
In 0.5000 0.5000 0.5000  4 Os 2.78, 4 Fe 2.78
Fe 0.7500 0.7500 0.7500  4 In 2.78, 4 Sc 2.78
Os 0.2500 0.2500 0.2500  4 In 2.78, 4 Sc 2.78

---

(6)
La2Mg4FePt: optimized geometry, PBE-GGA.

- Space-group type: Amm2
- Density: 5.675 g/cm³
- Final energy: -33.0 eV/cell

Cell: 8.4323 5.5465 5.5465 Å, 44.92 90.00 90.00°
With the nearest neighbours (Å) after each atom.
Fractional coordinates of all 8 atoms:
La 0.0000 0.0000 0.0000  3 Fe 2.89-3.08
La 0.5000 0.1187 0.1187  3 Pt 2.96-3.03
Mg 0.1895 0.7133 0.7133  2 Fe 2.74, 1 Pt 2.88, 2 Mg 3.01
Mg 0.2998 0.4010 0.4010  2 Pt 2.80, 1 Fe 2.81, 2 Mg 3.01
Mg 0.7002 0.4010 0.4010  2 Pt 2.80, 1 Fe 2.81, 2 Mg 3.01
Mg 0.8105 0.7133 0.7133  2 Fe 2.74, 1 Pt 2.88, 2 Mg 3.01
Fe 0.0000 0.2815 0.2815  6 Mg 2.74-2.81, 1 La 2.89
Pt 0.5000 0.8303 0.8303  6 Mg 2.80-2.88, 3 La 2.96-3.03

---

(7)
Lu4Ta2Sb3C3: optimized geometry, PBE-GGA.

- Space-group type: C2/c
- Density: 10.970 g/cm³
- Final energy: -177.9 eV/cell

Cell: 5.9921 5.9921 14.6221 Å, 101.77 101.77 60.24°
With the nearest neighbours (Å) after each atom.
Fractional coordinates of all 24 atoms:
Lu 0.0389 0.1878 0.0908  3 C 2.40-2.44
Lu 0.1262 0.3033 0.4090  3 C 2.41-2.43
Lu 0.1878 0.0389 0.5908  3 C 2.40-2.44
Lu 0.3033 0.1262 0.9090  3 C 2.41-2.43
Lu 0.6967 0.8738 0.0910  3 C 2.41-2.43
Lu 0.8122 0.9611 0.4092  3 C 2.40-2.44
Lu 0.8738 0.6967 0.5910  3 C 2.41-2.43
Lu 0.9611 0.8122 0.9092  3 C 2.40-2.44
Ta 0.3498 0.5240 0.0758  3 C 2.20-2.22
Ta 0.4760 0.6502 0.4242  3 C 2.20-2.22
Ta 0.5240 0.3498 0.5758  3 C 2.20-2.22
Ta 0.6502 0.4760 0.9242  3 C 2.20-2.22
Sb 0.1168 0.8832 0.2500  2 Ta 3.05, 4 Lu 3.07, 2 Sb 3.16
Sb 0.2767 0.4150 0.7512  4 Lu 3.06-3.11, 2 Ta 3.08-3.11, 2 Sb 3.16-3.20
Sb 0.4150 0.2767 0.2512  4 Lu 3.06-3.11, 2 Ta 3.08-3.11, 2 Sb 3.16-3.20
Sb 0.5850 0.7233 0.7488  4 Lu 3.06-3.11, 2 Ta 3.08-3.11, 2 Sb 3.16-3.20
Sb 0.7233 0.5850 0.2488  4 Lu 3.06-3.11, 2 Ta 3.08-3.11, 2 Sb 3.16-3.20
Sb 0.8832 0.1168 0.7500  2 Ta 3.05, 4 Lu 3.07, 2 Sb 3.16
C 0.0000 0.5000 0.0000  2 Ta 2.22, 4 Lu 2.40-2.41
C 0.1929 0.6535 0.4999  2 Ta 2.20, 4 Lu 2.41-2.44
C 0.3465 0.8071 0.0001  2 Ta 2.20, 4 Lu 2.41-2.44
C 0.5000 0.0000 0.5000  2 Ta 2.22, 4 Lu 2.40-2.41
C 0.6535 0.1929 0.9999  2 Ta 2.20, 4 Lu 2.41-2.44
C 0.8071 0.3465 0.5001  2 Ta 2.20, 4 Lu 2.41-2.44

---

(8)
PrSc2PbC: optimized geometry, PBE-GGA.

- Space-group type: P4/mmm
- Density: 6.753 g/cm³
- Final energy: -32.9 eV/cell

Cell: 4.6469 4.6469 5.1249 Å, 90.00 90.00 90.00°
With the nearest neighbours (Å) after each atom.
Fractional coordinates of all 5 atoms:
Pr 0.0000 0.0000 0.0000  2 C 2.56
Sc 0.0000 0.5000 0.5000  2 C 2.32
Sc 0.5000 0.0000 0.5000  2 C 2.32
Pb 0.5000 0.5000 0.0000  4 Pr 3.29, 8 Sc 3.46
C 0.0000 0.0000 0.5000  4 Sc 2.32, 2 Pr 2.56

---

> What is the formula in the second record?

ZrCuAs2